Entry 1:
This record from Alexandria via LeMat-Bulk describes CrBSb3 after structural relaxation. The functional is GGA-PBEsol.

Geometry as POSCAR:
```
CrBSb3
1.0
4.901 0.000 0.000
0.000 4.901 0.000
0.000 0.000 4.901
Cr B Sb
1 1 3
direct
0.000 0.000 0.000
0.500 0.500 0.500
0.000 0.000 0.500
0.000 0.500 0.000
0.500 0.000 0.000
```

Calculated values
Formation energy (no corrections): 1.25 eV/atom
Total magnetization: 1.7 μB per formula unit
ρ: 6.04 g/cm³
N(E_F): 0.87 states/eV/atom

=====

Entry 2:
This record from Alexandria via LeMat-Bulk describes Ba2LiF after structural relaxation. The functional is GGA-PBEsol.

Geometry as POSCAR:
```
Ba2LiF
1.0
-3.927 3.927 4.972
3.927 -3.927 4.972
3.927 3.927 -4.972
Ba Li F
4 2 2
direct
0.029 0.125 0.404
0.375 0.971 0.096
0.721 0.625 0.596
0.875 0.279 0.904
0.250 0.750 0.500
0.500 0.500 0.000
0.000 0.000 0.000
0.750 0.250 0.500
```

Calculated values
Formation energy (no corrections): -1.28 eV/atom
Total magnetization: 0.0 μB per formula unit
ρ: 3.25 g/cm³
N(E_F): 0.74 states/eV/atom

=====

Entry 3:
This record from Alexandria via LeMat-Bulk describes CaTl2Au after structural relaxation. The functional is GGA-PBEsol.

Geometry as POSCAR:
```
CaTl2Au
1.0
-2.368 2.368 4.248
2.368 -2.368 4.248
2.368 2.368 -4.248
Ca Tl Au
1 2 1
direct
0.000 0.000 0.000
0.500 0.500 0.000
0.750 0.250 0.500
0.250 0.750 0.500
```

Calculated values
Total magnetization: 0.0 μB per formula unit
ρ: 11.25 g/cm³
Calculated formation energy: -0.33 eV per atom
N(E_F): 0.47 states/eV/atom

=====

Entry 4:
This record from Alexandria via LeMat-Bulk describes SmAs after structural relaxation. The functional is GGA-PBEsol.

Geometry as POSCAR:
```
SmAs
1.0
0.000 2.935 2.935
2.935 0.000 2.935
2.935 2.935 0.000
Sm As
1 1
direct
0.000 0.000 0.000
0.500 0.500 0.500
```

Calculated values
Total magnetization: 0.0 μB per formula unit
ρ: 7.39 g/cm³
Calculated formation energy: -1.54 eV per atom
N(E_F): 0.12 states/eV/atom

=====

Entry 5:
This record from Alexandria via LeMat-Bulk describes La2YIr2 after structural relaxation. The functional is GGA-PBEsol.

Geometry as POSCAR:
```
La2YIr2
1.0
7.682 0.000 0.000
0.000 7.682 0.000
0.000 0.000 4.069
La Y Ir
4 2 4
direct
0.161 0.339 0.000
0.339 0.839 0.000
0.661 0.161 0.000
0.839 0.661 0.000
0.000 0.000 0.500
0.500 0.500 0.500
0.142 0.642 0.500
0.358 0.142 0.500
0.642 0.858 0.500
0.858 0.358 0.500
```

Calculated values
Total magnetization: 0.0 μB per formula unit
ρ: 10.39 g/cm³
Calculated formation energy: -0.59 eV per atom
N(E_F): 0.79 states/eV/atom

=====

Entry 6:
This record from Alexandria via LeMat-Bulk describes Cu2HgP after structural relaxation. The functional is GGA-PBEsol.

Geometry as POSCAR:
```
Cu2HgP
1.0
0.000 3.108 3.108
3.108 0.000 3.108
3.108 3.108 0.000
Cu Hg P
2 1 1
direct
0.000 0.000 0.000
0.250 0.250 0.250
0.500 0.500 0.500
0.750 0.750 0.750
```

Calculated values
Total magnetization: 0.0 μB per formula unit
ρ: 9.91 g/cm³
Calculated formation energy: 0.47 eV per atom
N(E_F): 0.65 states/eV/atom

=====

Entry 7:
This record from Alexandria via LeMat-Bulk describes Y2Hg2Te after structural relaxation. The functional is GGA-PBEsol.

Geometry as POSCAR:
```
Y2Hg2Te
1.0
-2.795 2.795 4.620
2.795 -2.795 4.620
2.795 2.795 -4.620
Y Hg Te
2 2 1
direct
0.250 0.750 0.500
0.750 0.250 0.500
0.144 0.144 0.000
0.856 0.856 0.000
0.500 0.500 0.000
```

Calculated values
Formation energy (no corrections): -0.29 eV/atom
Total magnetization: 0.0 μB per formula unit
ρ: 8.13 g/cm³
N(E_F): 0.76 states/eV/atom

=====

Entry 8:
This record from Alexandria via LeMat-Bulk describes NiSn3Cl after structural relaxation. The functional is GGA-PBEsol.

Geometry as POSCAR:
```
NiSn3Cl
1.0
4.933 0.000 0.000
0.000 4.933 0.000
0.000 0.000 4.933
Ni Sn Cl
1 3 1
direct
0.000 0.000 0.000
0.000 0.000 0.500
0.000 0.500 0.000
0.500 0.000 0.000
0.500 0.500 0.500
```

Calculated values
Formation energy (no corrections): -0.10 eV/atom
Total magnetization: 0.0 μB per formula unit
ρ: 6.23 g/cm³
N(E_F): 0.65 states/eV/atom

=====

Entry 9:
This record from Alexandria via LeMat-Bulk describes InBr3N after structural relaxation. The functional is GGA-PBEsol.

Geometry as POSCAR:
```
InBr3N
1.0
5.354 0.000 0.000
0.000 5.354 0.000
0.000 0.000 5.354
In Br N
1 3 1
direct
0.000 0.000 0.000
0.000 0.000 0.500
0.000 0.500 0.000
0.500 0.000 0.000
0.500 0.500 0.500
```

Calculated values
Formation energy (no corrections): 0.61 eV/atom
Total magnetization: 3.0 μB per formula unit
ρ: 3.99 g/cm³
N(E_F): 0.55 states/eV/atom

=====

Entry 10:
This record from Alexandria via LeMat-Bulk describes CeRh2O5 after structural relaxation. The functional is GGA-PBEsol.

Geometry as POSCAR:
```
CeRh2O5
1.0
7.160 0.000 0.000
0.000 9.729 0.000
0.000 0.000 5.115
Ce Rh O
4 8 20
direct
0.235 0.250 0.199
0.265 0.750 0.699
0.735 0.250 0.301
0.765 0.750 0.801
0.084 0.559 0.250
0.084 0.941 0.250
0.416 0.059 0.750
0.416 0.441 0.750
0.584 0.559 0.250
0.584 0.941 0.250
0.916 0.059 0.750
0.916 0.441 0.750
0.017 0.122 0.407
0.017 0.378 0.407
0.121 0.750 0.081
0.165 0.055 0.932
0.165 0.445 0.932
0.335 0.555 0.432
0.335 0.945 0.432
0.379 0.250 0.581
0.483 0.622 0.907
0.483 0.878 0.907
0.517 0.122 0.093
0.517 0.378 0.093
0.621 0.750 0.419
0.665 0.055 0.568
0.665 0.445 0.568
0.835 0.555 0.068
0.835 0.945 0.068
0.879 0.250 0.919
0.983 0.622 0.593
0.983 0.878 0.593
```

Calculated values
Formation energy (no corrections): -1.77 eV/atom
Total magnetization: 0.0 μB per formula unit
ρ: 7.94 g/cm³